The following is a PBE-GGA calculation of an optimized crystal structure of Ce3Ho5O12, from the Alexandria database.

abc: 13.669 13.669 13.669
angles: 90.00 90.00 90.00
Space group Ia-3d (No. 230)
One atom of each set of equivalent atoms:
Ce: 0.000 0.250 0.125
Ho: 0.000 0.000 0.000
Ho: 0.000 0.250 0.375
O: 0.023 0.062 0.652

E_form (uncorrected): -3325 meV per atom
DOS at the Fermi energy: 0.958 states/eV/atom